Record 1
An optimized crystal structure of LiCoNi2N, computed with PBE-GGA.

Cell lengths 3.755, 3.698, 3.755 Å; angles 90.00, 90.00, 90.00 degrees
Site moments in Bohr magnetons follow the coordinates.
Fractional coordinates of all 5 atoms:
Ni (0.500, 0.000, 0.000)  0.06
Co (0.000, 0.500, 0.000)  1.13
N (0.000, 0.000, 0.000)  0.04
Ni (0.000, 0.000, 0.500)  0.06
Li (0.500, 0.500, 0.500)  -0.02

Values from the calculation:
total magnetization	1.21	μB per cell
uncorrected formation energy	-0.112	eV per atom
D(E_F)	0.95	states/eV/atom

***

Record 2
An optimized crystal structure of Li3Np3CoN8, computed with PBE-GGA.

Cell lengths 6.560, 6.564, 6.256 Å; angles 121.61, 90.00, 119.98 degrees
Site moments in Bohr magnetons follow the coordinates.
Fractional coordinates of all 15 atoms:
Li (0.000, 0.000, 0.000)  0.00
Np (0.500, 0.500, 0.500)  1.24
N (0.741, 0.481, 0.720)  -0.07
N (0.259, 0.029, 0.300)  -0.08
N (0.259, 0.519, 0.280)  -0.07
N (0.770, 0.029, 0.300)  -0.08
Co (0.000, 0.000, 0.500)  0.01
Np (0.000, 0.500, 0.500)  1.24
Li (0.500, 0.500, 0.000)  0.00
Li (0.000, 0.500, 0.000)  0.00
N (0.230, 0.971, 0.700)  -0.08
N (0.771, 0.541, 0.300)  -0.08
Np (0.500, 0.000, 0.500)  1.23
N (0.229, 0.459, 0.700)  -0.08
N (0.741, 0.971, 0.700)  -0.08

Values from the calculation:
total magnetization	3.02	μB per cell
uncorrected formation energy	-0.550	eV per atom
D(E_F)	0.66	states/eV/atom